Density functional theory data (PBE) for an optimized crystal structure of Be2ZnOs2.

The space-group type is P4/mbm (127). Its total magnetic moment is 0.00 μB per atom. For the total energy, the calculation gives -6.39 eV per atom.

Lattice parameters (Å, degrees): 5.9149 5.9149 3.1869 90.00 90.00 90.00
Closest atoms and distances in Å follow each position.
Fractional positions:
1 Be 0.3773 0.1227 0.0000  1 Be 2.05
2 Be 0.8773 0.3773 0.0000  1 Be 2.05
3 Be 0.1227 0.6227 0.0000  1 Be 2.05
4 Be 0.6227 0.8773 0.0000  1 Be 2.05
5 Os 0.6723 0.1723 0.5000  6 Be 2.34-2.38
6 Os 0.1723 0.3277 0.5000  6 Be 2.34-2.38
7 Os 0.8277 0.6723 0.5000  6 Be 2.34-2.38
8 Os 0.3277 0.8277 0.5000  6 Be 2.34-2.38
9 Zn 0.0000 0.0000 0.0000  4 Be 2.35
10 Zn 0.5000 0.5000 0.0000  4 Be 2.35